NpOsRu2 | GGA-PBE | relaxed

Cell: 3.979 3.990 3.990 Å, 90.00 90.00 90.00°
Fractional positions:
Os 0.500 0.000 0.000
Np 0.500 0.500 0.500
Ru 0.000 0.500 0.000
Ru 0.000 0.000 0.500

Results
Relative energy among the computed polymorphs: 0.0000 eV per atom
N(E_F): 0.969 states/eV/atom
Total moment: 0.10 μB/atom